CdIn3Pb2 (PBE, optimized geometry); V = 207.61 Å³/f.u.; magnetization = 0.0 μB per formula unit; energy of formation from the pure elements = 0.198 eV/atom
1.0
3.158 -6.840 0.000
3.158 6.840 0.000
0.000 0.000 4.805
Cd In Pb
1 3 2
Direct
0.000 0.000 0.000
0.127 0.873 0.500
0.500 0.500 0.000
0.873 0.127 0.500
0.356 0.644 0.500
0.644 0.356 0.500



Cd2InPb8 (PBE, optimized geometry); V = 328.33 Å³/f.u.; magnetization = 0.0 μB per formula unit; relative energy among the computed polymorphs = 0.0 kJ/mol of atoms; energy of formation from the pure elements = 0.023 eV/atom
1.0
8.672 -2.487 0.000
8.672 2.487 0.000
-2.567 0.000 7.612
Cd In Pb
2 1 8
Direct
0.226 0.226 0.139
0.774 0.774 0.861
0.500 0.500 0.500
0.043 0.043 0.230
0.142 0.142 0.698
0.320 0.320 0.584
0.400 0.400 0.035
0.600 0.600 0.965
0.680 0.680 0.416
0.858 0.858 0.302
0.957 0.957 0.770



Cd4In5Pb (PBE, optimized geometry); V = 259.26 Å³/f.u.; magnetization = 0.0 μB per formula unit; energy of formation from the pure elements = 0.017 eV/atom
1.0
3.334 0.000 0.000
0.000 3.334 0.000
0.000 0.000 23.330
Cd In Pb
4 5 1
Direct
0.000 0.000 0.097
0.000 0.000 0.289
0.000 0.000 0.711
0.000 0.000 0.903
0.500 0.500 0.000
0.500 0.500 0.194
0.500 0.500 0.387
0.500 0.500 0.613
0.500 0.500 0.806
0.000 0.000 0.500



CdInPb (PBE, optimized geometry); V = 101.10 Å³/f.u.; magnetization = 0.0 μB per formula unit; relative energy among the computed polymorphs = 8.5 kJ/mol of atoms; energy of formation from the pure elements = 0.124 eV/atom
1.0
3.344 0.000 0.000
0.313 6.122 0.000
0.418 1.495 9.878
Cd In Pb
2 2 2
Direct
0.000 0.000 0.000
0.467 0.921 0.242
0.504 0.103 0.497
0.964 0.815 0.746
0.495 0.341 0.770
0.974 0.578 0.472



CdIn2Pb (PBE, optimized geometry); V = 109.87 Å³/f.u.; magnetization = 0.0 μB per formula unit; energy of formation from the pure elements = 0.031 eV/atom
1.0
1.723 0.995 10.689
-1.723 0.995 10.689
0.000 -1.989 10.689
Cd In Pb
1 2 1
Direct
0.000 0.000 0.000
0.412 0.412 0.412
0.588 0.588 0.588
0.167 0.167 0.167



Cd8In2Pb (PBE, optimized geometry); V = 308.25 Å³/f.u.; magnetization = 0.0 μB per formula unit; energy of formation from the pure elements = 0.110 eV/atom
1.0
3.291 -8.842 0.000
3.291 8.842 0.000
-0.384 0.000 5.296
Cd In Pb
8 2 1
Direct
0.080 0.080 0.253
0.161 0.839 0.000
0.186 0.406 0.612
0.406 0.186 0.612
0.594 0.814 0.388
0.814 0.594 0.388
0.839 0.161 0.000
0.920 0.920 0.747
0.243 0.757 0.500
0.757 0.243 0.500
0.500 0.500 0.000